No. 1
This record from Alexandria describes a relaxed structure of NaHg3. The functional is GGA-PBE.

```
data_NaHg3
_space_group_name_H-M_alt 'P 1'
_space_group_IT_number 1
_cell_length_a 4.695
_cell_length_b 4.695
_cell_length_c 4.695
_cell_angle_alpha 90.00
_cell_angle_beta 90.00
_cell_angle_gamma 90.00
loop_
_space_group_symop_operation_xyz
'x,y,z'
loop_
_atom_site_label
_atom_site_fract_x
_atom_site_fract_y
_atom_site_fract_z
_atom_site_occupancy
Na1 0.000 0.000 0.000 1
Hg1 0.000 0.500 0.500 1
Hg2 0.500 0.000 0.500 1
Hg3 0.500 0.500 0.000 1
```

Values from the calculation:
Symmetry = Pm-3m (221)
Total magnetization = 0.0 μB per formula unit
Calculated volume = 25.9 A^3/atom
E_form = -0.18 eV/atom


No. 2
This record from Alexandria describes a relaxed structure of Na7Hg3. The functional is GGA-PBE.

```
data_Na7Hg3
_space_group_name_H-M_alt 'P 1'
_space_group_IT_number 1
_cell_length_a 10.546
_cell_length_b 10.546
_cell_length_c 6.333
_cell_angle_alpha 90.00
_cell_angle_beta 90.00
_cell_angle_gamma 120.00
loop_
_space_group_symop_operation_xyz
'x,y,z'
loop_
_atom_site_label
_atom_site_fract_x
_atom_site_fract_y
_atom_site_fract_z
_atom_site_occupancy
Na1 0.062 0.531 0.000 1
Na2 0.122 0.245 0.782 1
Na3 0.122 0.878 0.782 1
Na4 0.245 0.122 0.282 1
Na5 0.333 0.667 0.602 1
Na6 0.469 0.531 0.000 1
Na7 0.469 0.938 0.000 1
Na8 0.531 0.062 0.500 1
Na9 0.531 0.469 0.500 1
Na10 0.667 0.333 0.102 1
Na11 0.755 0.878 0.782 1
Na12 0.878 0.122 0.282 1
Na13 0.878 0.755 0.282 1
Na14 0.938 0.469 0.500 1
Hg1 0.198 0.396 0.308 1
Hg2 0.198 0.802 0.308 1
Hg3 0.396 0.198 0.808 1
Hg4 0.604 0.802 0.308 1
Hg5 0.802 0.198 0.808 1
Hg6 0.802 0.604 0.808 1
```

Values from the calculation:
Symmetry = P6_3mc (186)
Total magnetization = 0.0 μB per formula unit
Calculated volume = 30.5 A^3/atom
E_form = -0.15 eV/atom


No. 3
This record from Alexandria describes a relaxed structure of Na2Hg7. The functional is GGA-PBE.

```
data_Na2Hg7
_space_group_name_H-M_alt 'P 1'
_space_group_IT_number 1
_cell_length_a 6.257
_cell_length_b 6.257
_cell_length_c 7.371
_cell_angle_alpha 90.00
_cell_angle_beta 90.00
_cell_angle_gamma 120.00
loop_
_space_group_symop_operation_xyz
'x,y,z'
loop_
_atom_site_label
_atom_site_fract_x
_atom_site_fract_y
_atom_site_fract_z
_atom_site_occupancy
Na1 0.333 0.667 0.000 1
Na2 0.667 0.333 0.000 1
Hg1 0.000 0.000 0.000 1
Hg2 0.000 0.335 0.667 1
Hg3 0.000 0.665 0.333 1
Hg4 0.335 0.000 0.667 1
Hg5 0.335 0.335 0.333 1
Hg6 0.665 0.000 0.333 1
Hg7 0.665 0.665 0.667 1
```

Values from the calculation:
Symmetry = P-31m (162)
Total magnetization = 0.0 μB per formula unit
Calculated volume = 27.8 A^3/atom
E_form = -0.12 eV/atom


No. 4
This record from Alexandria describes a relaxed structure of Na7Hg. The functional is GGA-PBE.

```
data_Na7Hg
_space_group_name_H-M_alt 'P 1'
_space_group_IT_number 1
_cell_length_a 7.188
_cell_length_b 7.188
_cell_length_c 7.188
_cell_angle_alpha 60.00
_cell_angle_beta 60.00
_cell_angle_gamma 60.00
loop_
_space_group_symop_operation_xyz
'x,y,z'
loop_
_atom_site_label
_atom_site_fract_x
_atom_site_fract_y
_atom_site_fract_z
_atom_site_occupancy
Na1 0.000 0.000 0.000 1
Na2 0.000 0.000 0.500 1
Na3 0.000 0.500 0.000 1
Na4 0.000 0.500 0.500 1
Na5 0.500 0.000 0.000 1
Na6 0.500 0.000 0.500 1
Na7 0.500 0.500 0.000 1
Hg1 0.500 0.500 0.500 1
```

Values from the calculation:
Symmetry = Fm-3m (225)
Total magnetization = 0.0 μB per formula unit
Calculated volume = 32.8 A^3/atom
E_form = -0.05 eV/atom


No. 5
This record from Alexandria describes a relaxed structure of Na8Hg3. The functional is GGA-PBE.

```
data_Na8Hg3
_space_group_name_H-M_alt 'P 1'
_space_group_IT_number 1
_cell_length_a 5.877
_cell_length_b 5.877
_cell_length_c 12.795
_cell_angle_alpha 104.10
_cell_angle_beta 104.10
_cell_angle_gamma 47.53
loop_
_space_group_symop_operation_xyz
'x,y,z'
loop_
_atom_site_label
_atom_site_fract_x
_atom_site_fract_y
_atom_site_fract_z
_atom_site_occupancy
Na1 0.051 0.051 0.317 1
Na2 0.125 0.125 0.958 1
Na3 0.218 0.218 0.588 1
Na4 0.324 0.324 0.224 1
Na5 0.676 0.676 0.776 1
Na6 0.782 0.782 0.412 1
Na7 0.875 0.875 0.042 1
Na8 0.949 0.949 0.683 1
Hg1 0.394 0.394 0.856 1
Hg2 0.500 0.500 0.500 1
Hg3 0.606 0.606 0.144 1
```

Values from the calculation:
Symmetry = C2/m (12)
Total magnetization = 0.0 μB per formula unit
Calculated volume = 28.6 A^3/atom
E_form = -0.15 eV/atom


No. 6
This record from Alexandria describes a relaxed structure of Na5Hg. The functional is GGA-PBE.

```
data_Na5Hg
_space_group_name_H-M_alt 'P 1'
_space_group_IT_number 1
_cell_length_a 7.664
_cell_length_b 7.664
_cell_length_c 5.100
_cell_angle_alpha 90.00
_cell_angle_beta 90.00
_cell_angle_gamma 140.96
loop_
_space_group_symop_operation_xyz
'x,y,z'
loop_
_atom_site_label
_atom_site_fract_x
_atom_site_fract_y
_atom_site_fract_z
_atom_site_occupancy
Na1 0.000 0.000 0.000 1
Na2 0.155 0.845 0.500 1
Na3 0.345 0.655 0.000 1
Na4 0.655 0.345 0.000 1
Na5 0.845 0.155 0.500 1
Hg1 0.500 0.500 0.500 1
```

Values from the calculation:
Symmetry = Cmmm (65)
Total magnetization = 0.0 μB per formula unit
Calculated volume = 31.4 A^3/atom
E_form = -0.09 eV/atom


No. 7
This record from Alexandria describes a relaxed structure of Na2Hg17. The functional is GGA-PBE.

```
data_Na2Hg17
_space_group_name_H-M_alt 'P 1'
_space_group_IT_number 1
_cell_length_a 8.840
_cell_length_b 8.840
_cell_length_c 8.840
_cell_angle_alpha 64.55
_cell_angle_beta 64.55
_cell_angle_gamma 64.55
loop_
_space_group_symop_operation_xyz
'x,y,z'
loop_
_atom_site_label
_atom_site_fract_x
_atom_site_fract_y
_atom_site_fract_z
_atom_site_occupancy
Na1 0.220 0.220 0.220 1
Na2 0.780 0.780 0.780 1
Hg1 0.000 0.500 0.500 1
Hg2 0.085 0.085 0.682 1
Hg3 0.085 0.682 0.085 1
Hg4 0.185 0.500 0.815 1
Hg5 0.185 0.815 0.500 1
Hg6 0.318 0.915 0.915 1
Hg7 0.413 0.413 0.413 1
Hg8 0.500 0.000 0.500 1
Hg9 0.500 0.185 0.815 1
Hg10 0.500 0.500 0.000 1
Hg11 0.500 0.815 0.185 1
Hg12 0.587 0.587 0.587 1
Hg13 0.682 0.085 0.085 1
Hg14 0.815 0.185 0.500 1
Hg15 0.815 0.500 0.185 1
Hg16 0.915 0.318 0.915 1
Hg17 0.915 0.915 0.318 1
```

Values from the calculation:
Symmetry = R-3m (166)
Total magnetization = 0.0 μB per formula unit
Calculated volume = 28.3 A^3/atom
E_form = -0.06 eV/atom


No. 8
This record from Alexandria describes a relaxed structure of NaHg2. The functional is GGA-PBE.

```
data_NaHg2
_space_group_name_H-M_alt 'P 1'
_space_group_IT_number 1
_cell_length_a 6.092
_cell_length_b 6.092
_cell_length_c 6.092
_cell_angle_alpha 60.00
_cell_angle_beta 60.00
_cell_angle_gamma 60.00
loop_
_space_group_symop_operation_xyz
'x,y,z'
loop_
_atom_site_label
_atom_site_fract_x
_atom_site_fract_y
_atom_site_fract_z
_atom_site_occupancy
Na1 0.125 0.125 0.125 1
Na2 0.875 0.875 0.875 1
Hg1 0.000 0.500 0.500 1
Hg2 0.500 0.000 0.500 1
Hg3 0.500 0.500 0.000 1
Hg4 0.500 0.500 0.500 1
```

Values from the calculation:
Symmetry = Fd-3m (227)
Total magnetization = 0.0 μB per formula unit
Calculated volume = 26.7 A^3/atom
E_form = -0.17 eV/atom


No. 9
This record from Alexandria describes a relaxed structure of NaHg3. The functional is GGA-PBE.

```
data_NaHg3
_space_group_name_H-M_alt 'P 1'
_space_group_IT_number 1
_cell_length_a 5.238
_cell_length_b 5.238
_cell_length_c 5.238
_cell_angle_alpha 60.00
_cell_angle_beta 60.00
_cell_angle_gamma 60.00
loop_
_space_group_symop_operation_xyz
'x,y,z'
loop_
_atom_site_label
_atom_site_fract_x
_atom_site_fract_y
_atom_site_fract_z
_atom_site_occupancy
Na1 0.000 0.000 0.000 1
Hg1 0.250 0.250 0.250 1
Hg2 0.500 0.500 0.500 1
Hg3 0.750 0.750 0.750 1
```

Values from the calculation:
Symmetry = Fm-3m (225)
Total magnetization = 0.0 μB per formula unit
Calculated volume = 25.4 A^3/atom
E_form = -0.19 eV/atom


No. 10
This record from Alexandria describes a relaxed structure of Na8Hg. The functional is GGA-PBE.

```
data_Na8Hg
_space_group_name_H-M_alt 'P 1'
_space_group_IT_number 1
_cell_length_a 8.150
_cell_length_b 8.150
_cell_length_c 8.150
_cell_angle_alpha 95.27
_cell_angle_beta 95.27
_cell_angle_gamma 144.73
loop_
_space_group_symop_operation_xyz
'x,y,z'
loop_
_atom_site_label
_atom_site_fract_x
_atom_site_fract_y
_atom_site_fract_z
_atom_site_occupancy
Na1 0.000 0.325 0.325 1
Na2 0.000 0.675 0.675 1
Na3 0.325 0.000 0.325 1
Na4 0.345 0.345 0.690 1
Na5 0.345 0.655 0.000 1
Na6 0.655 0.345 0.000 1
Na7 0.655 0.655 0.310 1
Na8 0.675 0.000 0.675 1
Hg1 0.000 0.000 0.000 1
```

Values from the calculation:
Symmetry = I4/mmm (139)
Total magnetization = 0.0 μB per formula unit
Calculated volume = 33.1 A^3/atom
E_form = -0.05 eV/atom